Entry 1:
This record from the Alexandria database describes crystalline Fe2CuW at its relaxed geometry. The functional is PBE.

Magnetic moment: 0.990 μB per formula unit
E_form: 0.191 eV per atom
Offset from the most stable computed form: 0.093 eV/f.u.

Unit cell a=3.798 b=3.798 c=3.362 alpha=90.00 beta=90.00 gamma=90.00
Positions (direct):
Fe (0.000, 0.500, 0.000)
Fe (0.500, 0.000, 0.000)
Cu (0.000, 0.000, 0.500)
W (0.500, 0.500, 0.500)

Entry 2:
This record from the Alexandria database describes crystalline Sb2RhAu at its relaxed geometry. The functional is PBE.

Uncorrected formation energy: 1.10 eV per formula unit
Magnetic moment: 0.000 μB per formula unit

Unit cell a=6.918 b=6.918 c=6.918 alpha=90.00 beta=90.00 gamma=90.00
Positions (direct):
Sb (0.000, 0.000, 0.000)
Sb (0.000, 0.500, 0.500)
Sb (0.250, 0.250, 0.250)
Sb (0.250, 0.750, 0.750)
Sb (0.500, 0.000, 0.500)
Sb (0.500, 0.500, 0.000)
Sb (0.750, 0.250, 0.750)
Sb (0.750, 0.750, 0.250)
Rh (0.250, 0.250, 0.750)
Rh (0.250, 0.750, 0.250)
Rh (0.750, 0.250, 0.250)
Rh (0.750, 0.750, 0.750)
Au (0.000, 0.000, 0.500)
Au (0.000, 0.500, 0.000)
Au (0.500, 0.000, 0.000)
Au (0.500, 0.500, 0.500)

Entry 3:
This record from the Alexandria database describes crystalline Sr at its relaxed geometry. The functional is PBE.

Magnetic moment: 0.000 μB per formula unit
E_form: 0.177 eV per atom
Offset from the most stable computed form: 0.177 eV/f.u.

Unit cell a=15.003 b=15.003 c=4.066 alpha=90.00 beta=90.00 gamma=90.00
Positions (direct):
Sr (0.090, 0.642, 0.000)
Sr (0.106, 0.166, 0.000)
Sr (0.142, 0.410, 0.500)
Sr (0.166, 0.894, 0.000)
Sr (0.334, 0.606, 0.500)
Sr (0.358, 0.090, 0.000)
Sr (0.394, 0.334, 0.500)
Sr (0.410, 0.858, 0.500)
Sr (0.590, 0.142, 0.500)
Sr (0.606, 0.666, 0.500)
Sr (0.642, 0.910, 0.000)
Sr (0.666, 0.394, 0.500)
Sr (0.834, 0.106, 0.000)
Sr (0.858, 0.590, 0.500)
Sr (0.894, 0.834, 0.000)
Sr (0.910, 0.358, 0.000)

Entry 4:
This record from the Alexandria database describes crystalline CsNaPrI5 at its relaxed geometry. The functional is PBE.

Uncorrected formation energy: -11.19 eV per formula unit
Magnetic moment: 0.000 μB per formula unit

Unit cell a=9.050 b=9.050 c=12.065 alpha=102.11 beta=102.11 gamma=109.87
Positions (direct):
Cs (0.159, 0.841, 0.750)
Cs (0.841, 0.159, 0.250)
Na (0.187, 0.813, 0.250)
Na (0.813, 0.187, 0.750)
Pr (0.500, 0.500, 0.000)
Pr (0.500, 0.500, 0.500)
I (0.135, 0.245, 0.938)
I (0.202, 0.596, 0.413)
I (0.245, 0.135, 0.438)
I (0.404, 0.798, 0.087)
I (0.431, 0.569, 0.750)
I (0.569, 0.431, 0.250)
I (0.596, 0.202, 0.913)
I (0.755, 0.865, 0.562)
I (0.798, 0.404, 0.587)
I (0.865, 0.755, 0.062)

Entry 5:
This record from the Alexandria database describes crystalline SrCr2Ga2 at its relaxed geometry. The functional is PBE.

Magnetic moment: 0.000 μB per formula unit
E_form: 0.225 eV per atom

Unit cell a=4.529 b=4.529 c=9.427 alpha=90.00 beta=90.00 gamma=90.00
Positions (direct):
Sr (0.000, 0.000, 0.000)
Sr (0.500, 0.500, 0.500)
Cr (0.000, 0.000, 0.403)
Cr (0.000, 0.000, 0.597)
Cr (0.500, 0.500, 0.097)
Cr (0.500, 0.500, 0.903)
Ga (0.000, 0.500, 0.250)
Ga (0.000, 0.500, 0.750)
Ga (0.500, 0.000, 0.250)
Ga (0.500, 0.000, 0.750)

Entry 6:
This record from the Alexandria database describes crystalline KHg2TeO6 at its relaxed geometry. The functional is PBE.

Uncorrected formation energy: -7.33 eV per formula unit
Magnetic moment: 0.989 μB per formula unit

Unit cell a=5.798 b=5.805 c=6.141 alpha=69.13 beta=73.24 gamma=63.01
Positions (direct):
K (0.000, 0.000, 0.000)
Hg (0.249, 0.201, 0.402)
Hg (0.678, 0.717, 0.861)
Te (0.562, 0.534, 0.427)
O (0.276, 0.793, 0.591)
O (0.350, 0.543, 0.220)
O (0.474, 0.233, 0.642)
O (0.594, 0.852, 0.166)
O (0.804, 0.492, 0.621)
O (0.880, 0.312, 0.259)

Entry 7:
This record from the Alexandria database describes crystalline NaEuSiAg at its relaxed geometry. The functional is PBE.

Uncorrected formation energy: -0.49 eV per formula unit
Magnetic moment: 6.996 μB per formula unit

Unit cell a=7.026 b=7.026 c=7.026 alpha=90.00 beta=90.00 gamma=90.00
Positions (direct):
Na (0.000, 0.000, 0.000)
Na (0.000, 0.500, 0.500)
Na (0.500, 0.000, 0.500)
Na (0.500, 0.500, 0.000)
Eu (0.250, 0.250, 0.250)
Eu (0.250, 0.750, 0.750)
Eu (0.750, 0.250, 0.750)
Eu (0.750, 0.750, 0.250)
Si (0.000, 0.000, 0.500)
Si (0.000, 0.500, 0.000)
Si (0.500, 0.000, 0.000)
Si (0.500, 0.500, 0.500)
Ag (0.250, 0.250, 0.750)
Ag (0.250, 0.750, 0.250)
Ag (0.750, 0.250, 0.250)
Ag (0.750, 0.750, 0.750)

Entry 8:
This record from the Alexandria database describes crystalline TlTcAgO5 at its relaxed geometry. The functional is PBE.

Uncorrected formation energy: -7.07 eV per formula unit
Magnetic moment: 0.000 μB per formula unit

Unit cell a=6.276 b=6.276 c=8.219 alpha=100.20 beta=100.20 gamma=106.17
Positions (direct):
Tl (0.000, 0.000, 0.000)
Tl (0.000, 0.000, 0.500)
Tc (0.335, 0.665, 0.750)
Tc (0.665, 0.335, 0.250)
Ag (0.292, 0.708, 0.250)
Ag (0.708, 0.292, 0.750)
O (0.072, 0.928, 0.250)
O (0.089, 0.626, 0.831)
O (0.299, 0.428, 0.587)
O (0.374, 0.911, 0.669)
O (0.428, 0.299, 0.087)
O (0.572, 0.701, 0.913)
O (0.626, 0.089, 0.331)
O (0.701, 0.572, 0.413)
O (0.911, 0.374, 0.169)
O (0.928, 0.072, 0.750)

Entry 9:
This record from the Alexandria database describes crystalline Ta2TcAg at its relaxed geometry. The functional is PBE.

Magnetic moment: 0.000 μB per formula unit
E_form: 0.178 eV per atom
Offset from the most stable computed form: 0.459 eV/f.u.

Unit cell a=6.491 b=6.491 c=6.491 alpha=90.00 beta=90.00 gamma=90.00
Positions (direct):
Ta (0.250, 0.250, 0.250)
Ta (0.250, 0.250, 0.750)
Ta (0.250, 0.750, 0.250)
Ta (0.250, 0.750, 0.750)
Ta (0.750, 0.250, 0.250)
Ta (0.750, 0.250, 0.750)
Ta (0.750, 0.750, 0.250)
Ta (0.750, 0.750, 0.750)
Tc (0.000, 0.000, 0.000)
Tc (0.000, 0.500, 0.500)
Tc (0.500, 0.000, 0.500)
Tc (0.500, 0.500, 0.000)
Ag (0.000, 0.000, 0.500)
Ag (0.000, 0.500, 0.000)
Ag (0.500, 0.000, 0.000)
Ag (0.500, 0.500, 0.500)

Entry 10:
This record from the Alexandria database describes crystalline BaLi9Tl2 at its relaxed geometry. The functional is PBE.

Magnetic moment: 0.000 μB per formula unit
E_form: -0.138 eV per atom

Unit cell a=9.361 b=9.361 c=9.361 alpha=99.89 beta=99.89 gamma=131.02
Positions (direct):
Ba (0.375, 0.625, 0.750)
Ba (0.625, 0.375, 0.250)
Li (0.125, 0.875, 0.250)
Li (0.148, 0.570, 0.328)
Li (0.148, 0.820, 0.578)
Li (0.180, 0.258, 0.328)
Li (0.180, 0.852, 0.922)
Li (0.258, 0.180, 0.828)
Li (0.258, 0.430, 0.078)
Li (0.430, 0.258, 0.578)
Li (0.430, 0.852, 0.172)
Li (0.570, 0.148, 0.828)
Li (0.570, 0.742, 0.422)
Li (0.742, 0.570, 0.922)
Li (0.742, 0.820, 0.172)
Li (0.820, 0.148, 0.078)
Li (0.820, 0.742, 0.672)
Li (0.852, 0.180, 0.422)
Li (0.852, 0.430, 0.672)
Li (0.875, 0.125, 0.750)
Tl (0.000, 0.000, 0.000)
Tl (0.000, 0.000, 0.500)
Tl (0.000, 0.500, 0.000)
Tl (0.500, 0.000, 0.500)

Entry 11:
This record from the Alexandria database describes crystalline Tb2Cu3Si at its relaxed geometry. The functional is PBE.

Uncorrected formation energy: -2.52 eV per formula unit
Magnetic moment: 0.000 μB per formula unit

Unit cell a=3.684 b=4.136 c=7.384 alpha=90.00 beta=90.00 gamma=90.00
Positions (direct):
Tb (0.000, 0.000, 0.000)
Tb (0.000, 0.500, 0.497)
Cu (0.500, 0.000, 0.656)
Cu (0.500, 0.500, 0.172)
Cu (0.500, 0.500, 0.836)
Si (0.500, 0.000, 0.329)

Entry 12:
This record from the Alexandria database describes crystalline Tl2CdSb at its relaxed geometry. The functional is PBE.

Uncorrected formation energy: 0.23 eV per formula unit
Magnetic moment: 0.000 μB per formula unit
Offset from the most stable computed form: 0.208 eV/f.u.

Unit cell a=3.368 b=5.936 c=11.785 alpha=90.00 beta=90.00 gamma=90.00
Positions (direct):
Tl (0.000, 0.000, 0.000)
Tl (0.000, 0.500, 0.217)
Tl (0.500, 0.000, 0.717)
Tl (0.500, 0.500, 0.500)
Cd (0.000, 0.000, 0.473)
Cd (0.500, 0.500, 0.973)
Sb (0.000, 0.500, 0.752)
Sb (0.500, 0.000, 0.252)

Entry 13:
This record from the Alexandria database describes crystalline Al2TlAg at its relaxed geometry. The functional is PBE.

Magnetic moment: 0.000 μB per formula unit
E_form: 0.245 eV per atom

Unit cell a=4.301 b=4.301 c=8.775 alpha=90.00 beta=90.00 gamma=90.00
Positions (direct):
Al (0.000, 0.500, 0.250)
Al (0.000, 0.500, 0.750)
Al (0.500, 0.000, 0.250)
Al (0.500, 0.000, 0.750)
Tl (0.000, 0.000, 0.000)
Tl (0.500, 0.500, 0.500)
Ag (0.000, 0.000, 0.500)
Ag (0.500, 0.500, 0.000)

Entry 14:
This record from the Alexandria database describes crystalline TbSm2Y6Tm3 at its relaxed geometry. The functional is PBE.

Magnetic moment: 0.000 μB per formula unit
E_form: 0.023 eV per atom

Unit cell a=6.164 b=6.164 c=11.793 alpha=94.99 beta=94.99 gamma=119.95
Positions (direct):
Tb (0.000, 0.000, 0.000)
Sm (0.333, 0.667, 0.000)
Sm (0.667, 0.333, 0.000)
Y (0.085, 0.418, 0.253)
Y (0.248, 0.248, 0.747)
Y (0.418, 0.085, 0.253)
Y (0.582, 0.915, 0.747)
Y (0.752, 0.752, 0.253)
Y (0.915, 0.582, 0.747)
Tm (0.166, 0.834, 0.500)
Tm (0.500, 0.500, 0.500)
Tm (0.834, 0.166, 0.500)

Entry 15:
This record from the Alexandria database describes crystalline Li2SiPt2 at its relaxed geometry. The functional is PBE.

Uncorrected formation energy: -3.11 eV per formula unit
Magnetic moment: 0.000 μB per formula unit
Offset from the most stable computed form: 0.488 eV/f.u.

Unit cell a=6.175 b=6.175 c=4.167 alpha=90.00 beta=90.00 gamma=90.00
Positions (direct):
Li (0.158, 0.342, 0.000)
Li (0.342, 0.842, 0.000)
Li (0.658, 0.158, 0.000)
Li (0.842, 0.658, 0.000)
Si (0.000, 0.000, 0.500)
Si (0.500, 0.500, 0.500)
Pt (0.152, 0.652, 0.500)
Pt (0.348, 0.152, 0.500)
Pt (0.652, 0.848, 0.500)
Pt (0.848, 0.348, 0.500)

Entry 16:
This record from the Alexandria database describes crystalline CaAlGe2O6 at its relaxed geometry. The functional is PBE.

Uncorrected formation energy: -21.44 eV per formula unit
Magnetic moment: 0.000 μB per formula unit

Unit cell a=7.030 b=7.030 c=6.448 alpha=112.35 beta=112.35 gamma=79.34
Positions (direct):
Ca (0.180, 0.820, 0.750)
Ca (0.820, 0.180, 0.250)
Al (0.192, 0.808, 0.250)
Al (0.808, 0.192, 0.750)
Ge (0.247, 0.357, 0.828)
Ge (0.357, 0.247, 0.328)
Ge (0.643, 0.753, 0.672)
Ge (0.753, 0.643, 0.172)
O (0.031, 0.192, 0.683)
O (0.173, 0.618, 0.971)
O (0.192, 0.031, 0.183)
O (0.258, 0.414, 0.567)
O (0.382, 0.827, 0.529)
O (0.414, 0.258, 0.067)
O (0.586, 0.742, 0.933)
O (0.618, 0.173, 0.471)
O (0.742, 0.586, 0.433)
O (0.808, 0.969, 0.817)
O (0.827, 0.382, 0.029)
O (0.969, 0.808, 0.317)

Entry 17:
This record from the Alexandria database describes crystalline LiTh2PaSe5 at its relaxed geometry. The functional is PBE.

Uncorrected formation energy: -12.79 eV per formula unit
Magnetic moment: 1.879 μB per formula unit

Unit cell a=8.847 b=8.847 c=12.619 alpha=90.00 beta=90.00 gamma=153.78
Positions (direct):
Li (0.032, 0.968, 0.500)
Li (0.968, 0.032, 0.000)
Th (0.354, 0.646, 0.349)
Th (0.400, 0.600, 0.722)
Th (0.600, 0.400, 0.222)
Th (0.646, 0.354, 0.849)
Pa (0.293, 0.707, 0.036)
Pa (0.707, 0.293, 0.536)
Se (0.015, 0.985, 0.816)
Se (0.124, 0.876, 0.045)
Se (0.176, 0.824, 0.377)
Se (0.221, 0.779, 0.699)
Se (0.444, 0.556, 0.107)
Se (0.556, 0.444, 0.607)
Se (0.779, 0.221, 0.199)
Se (0.824, 0.176, 0.877)
Se (0.876, 0.124, 0.545)
Se (0.985, 0.015, 0.316)

Entry 18:
This record from the Alexandria database describes crystalline CsK2Rb2 at its relaxed geometry. The functional is PBE.

Magnetic moment: 0.000 μB per formula unit
E_form: 0.052 eV per atom
Offset from the most stable computed form: 0.188 eV/f.u.

Unit cell a=6.247 b=6.247 c=23.923 alpha=90.00 beta=90.00 gamma=90.00
Positions (direct):
Cs (0.000, 0.000, 0.000)
Cs (0.500, 0.500, 0.500)
K (0.000, 0.500, 0.250)
K (0.000, 0.500, 0.750)
K (0.500, 0.000, 0.250)
K (0.500, 0.000, 0.750)
Rb (0.000, 0.000, 0.398)
Rb (0.000, 0.000, 0.602)
Rb (0.500, 0.500, 0.102)
Rb (0.500, 0.500, 0.898)

Entry 19:
This record from the Alexandria database describes crystalline AcEuCdSn at its relaxed geometry. The functional is PBE.

Magnetic moment: 7.722 μB per formula unit
E_form: -0.522 eV per atom

Unit cell a=8.034 b=8.034 c=8.034 alpha=90.00 beta=90.00 gamma=90.00
Positions (direct):
Ac (0.000, 0.000, 0.000)
Ac (0.000, 0.500, 0.500)
Ac (0.500, 0.000, 0.500)
Ac (0.500, 0.500, 0.000)
Eu (0.000, 0.000, 0.500)
Eu (0.000, 0.500, 0.000)
Eu (0.500, 0.000, 0.000)
Eu (0.500, 0.500, 0.500)
Cd (0.250, 0.250, 0.750)
Cd (0.250, 0.750, 0.250)
Cd (0.750, 0.250, 0.250)
Cd (0.750, 0.750, 0.750)
Sn (0.250, 0.250, 0.250)
Sn (0.250, 0.750, 0.750)
Sn (0.750, 0.250, 0.750)
Sn (0.750, 0.750, 0.250)

Entry 20:
This record from the Alexandria database describes crystalline Pm2SmDy2 at its relaxed geometry. The functional is PBE.

Magnetic moment: 0.000 μB per formula unit
E_form: 0.019 eV per atom
Offset from the most stable computed form: 0.000 eV/f.u.

Unit cell a=6.251 b=3.611 c=14.654 alpha=90.00 beta=90.04 gamma=90.00
Positions (direct):
Pm (0.168, 0.000, 0.397)
Pm (0.332, 0.500, 0.603)
Pm (0.668, 0.500, 0.397)
Pm (0.832, 0.000, 0.603)
Sm (0.000, 0.500, 0.000)
Sm (0.500, 0.000, 0.000)
Dy (0.166, 0.000, 0.801)
Dy (0.334, 0.500, 0.199)
Dy (0.666, 0.500, 0.801)
Dy (0.834, 0.000, 0.199)